# Li2VCuS4

Crystalline Li2VCuS4 at its relaxed geometry (GGA-PBE, Alexandria).

Cell lengths 6.321, 6.722, 7.492 Å; angles 90.00, 90.00, 90.00 degrees
Fractional coordinates of all 16 atoms:
Li 0.505 0.325 0.250
Li 0.505 0.325 0.750
Li 0.005 0.675 0.750
Li 0.005 0.675 0.250
V 0.497 0.831 0.500
V 0.997 0.169 0.000
Cu 0.002 0.159 0.500
Cu 0.502 0.841 0.000
S 0.338 0.148 0.000
S 0.838 0.852 0.500
S 0.364 0.129 0.500
S 0.864 0.871 0.000
S 0.395 0.678 0.744
S 0.895 0.322 0.244
S 0.895 0.322 0.756
S 0.395 0.678 0.256

Results
Space group: Pmn2_1, No. 31
Size of the total moment (μB per cell): 0.0
Energy relative to the elements, uncorrected (eV/atom): -0.885
Uncorrected energy (eV/atom): -5.08

# Li2VCuS

Crystalline Li2VCuS at its relaxed geometry (GGA-PBE, Alexandria).

Cell lengths 4.344, 4.573, 4.344 Å; angles 90.00, 90.00, 90.00 degrees
Last column: magnetic moment on the atom in μB.
Fractional coordinates of all 5 atoms:
S 0.000 0.000 0.000  -0.04
Li 0.000 0.000 0.500  0.01
Li 0.500 0.000 0.000  0.01
Cu 0.000 0.500 0.000  -0.02
V 0.500 0.500 0.500  -0.61

Results
Space group: P4/mmm, No. 123
Fermi-level density of states (states/eV per atom): 1.839
Size of the total moment (μB per cell): 0.8
Energy relative to the elements, uncorrected (eV/atom): 0.466
Uncorrected energy (eV/atom): -3.77

# Li2ZrCuS4

Crystalline Li2ZrCuS4 at its relaxed geometry (GGA-PBE, Alexandria).

Cell lengths 3.537, 6.478, 12.506 Å; angles 90.00, 90.00, 105.84 degrees
Fractional coordinates of all 16 atoms:
Li 0.382 0.764 0.559
Li 0.618 0.236 0.059
Li 0.618 0.236 0.441
Li 0.382 0.764 0.941
Zr 0.098 0.196 0.750
Zr 0.902 0.804 0.250
Cu 0.824 0.648 0.750
Cu 0.176 0.352 0.250
S 0.309 0.617 0.126
S 0.691 0.383 0.626
S 0.691 0.383 0.874
S 0.309 0.617 0.374
S 0.000 0.000 0.500
S 0.000 0.000 0.000
S 0.441 0.882 0.750
S 0.559 0.118 0.250

Results
Space group: Cmcm, No. 63
Fermi-level density of states (states/eV per atom): 0.395
Size of the total moment (μB per cell): 0.0
Energy relative to the elements, uncorrected (eV/atom): -0.979
Uncorrected energy (eV/atom): -5.10

# LiZrCu2S4

Crystalline LiZrCu2S4 at its relaxed geometry (GGA-PBE, Alexandria).

Cell lengths 5.154, 5.154, 6.214 Å; angles 114.81, 114.81, 89.33 degrees
Fractional coordinates of all 8 atoms:
Li 0.449 0.449 0.000
Zr 0.988 0.988 0.000
Cu 0.152 0.652 0.500
Cu 0.652 0.152 0.500
S 0.945 0.464 0.000
S 0.464 0.945 0.000
S 0.172 0.172 0.495
S 0.677 0.677 0.505

Results
Space group: Fmm2, No. 42
Fermi-level density of states (states/eV per atom): 0.426
Size of the total moment (μB per cell): 0.0
Energy relative to the elements, uncorrected (eV/atom): -0.803
Uncorrected energy (eV/atom): -5.20

# Li3Zr2CuS6

Crystalline Li3Zr2CuS6 at its relaxed geometry (GGA-PBE, Alexandria).

Cell lengths 6.361, 6.361, 6.458 Å; angles 99.60, 99.60, 119.84 degrees
Fractional coordinates of all 12 atoms:
Li 0.167 0.833 0.500
Li 0.833 0.167 0.500
Li 0.500 0.500 0.500
Zr 0.333 0.667 0.000
Zr 0.667 0.333 0.000
Cu 0.000 0.000 0.000
S 0.919 0.582 0.758
S 0.742 0.742 0.245
S 0.081 0.418 0.242
S 0.582 0.919 0.758
S 0.258 0.258 0.755
S 0.418 0.081 0.242

Results
Space group: C2/m, No. 12
Size of the total moment (μB per cell): 0.0
Energy relative to the elements, uncorrected (eV/atom): -1.279
Uncorrected energy (eV/atom): -5.59

# Li2Zr2CuS6

Crystalline Li2Zr2CuS6 at its relaxed geometry (GGA-PBE, Alexandria).

Cell lengths 6.394, 6.394, 6.467 Å; angles 98.46, 98.46, 121.54 degrees
Last column: magnetic moment on the atom in μB.
Fractional coordinates of all 11 atoms:
Li 0.833 0.167 0.000  0.00
Li 0.167 0.833 0.000  0.00
Zr 0.333 0.667 0.500  0.01
Zr 0.667 0.333 0.500  0.01
Cu 0.000 0.000 0.500  0.29
S 0.765 0.765 0.722  0.07
S 0.076 0.419 0.743  0.03
S 0.235 0.235 0.278  0.07
S 0.419 0.076 0.743  0.03
S 0.924 0.581 0.257  0.03
S 0.581 0.924 0.257  0.03

Results
Space group: C2/m, No. 12
Fermi-level density of states (states/eV per atom): 0.412
Size of the total moment (μB per cell): 0.8
Energy relative to the elements, uncorrected (eV/atom): -1.178
Uncorrected energy (eV/atom): -5.70